A geometry-optimized NaBeIr3 structure. Source: Alexandria via LeMat-Bulk, functional PBE.

POSCAR file:
```
NaBeIr3
1.0
-0.6009 -1.1813 -4.2428
4.4035 -0.0887 -0.5989
0.0745 -4.2842 1.1823
Ir Na Be
3 1 1
direct
0.5000 0.0000 0.0000
0.0000 0.0000 0.5000
0.0000 0.5000 0.0000
0.0000 0.0000 0.0000
0.5000 0.5000 0.5000
```

Values from the calculation:
VASP energy, eV/cell: -19.15
Total magnetic moment, μB per formula unit: 0.00
ΔE to the lowest computed polymorph, meV/atom: 2004
DOS at the Fermi energy, states/eV/cell: 5.3
E_form, eV per atom: 2.49
Volume, Å³/atom: 17.6